# 1
Below is a relaxed Ba2CrRuPb crystal, with properties calculated at the GGA-PBE level.

Cell: 6.332 6.332 4.385 Å, 90.00 90.00 90.00°
Atoms (fractional coordinates):
Ba: 0.000 0.500 0.000
Ba: 0.500 0.000 0.000
Cr: 0.000 0.000 0.000
Ru: 0.000 0.000 0.500
Pb: 0.500 0.500 0.500

Computed properties:
- DFT formation energy: 0.53 eV/atom
- E_tot: -23.79 eV for the cell shown
- Space-group type: No. 123

=====

# 2
Below is a relaxed MgCr2W crystal, with properties calculated at the GGA-PBE level.

Cell: 5.564 5.564 5.564 Å, 103.36 103.36 122.54°
Atoms (fractional coordinates):
Mg: 0.000 0.000 0.000
Mg: 0.750 0.250 0.500
Cr: 0.156 0.625 0.031
Cr: 0.375 0.406 0.531
Cr: 0.594 0.125 0.969
Cr: 0.875 0.844 0.469
W: 0.250 0.750 0.500
W: 0.500 0.500 0.000

Computed properties:
- DFT formation energy: 1.06 eV/atom
- E_tot: -59.12 eV for the cell shown
- Space-group type: No. 122

=====

# 3
Below is a relaxed Sc2NbCu crystal, with properties calculated at the GGA-PBE level.

Cell: 4.766 4.766 4.766 Å, 60.00 60.00 60.00°
Atoms (fractional coordinates):
Sc: 0.250 0.250 0.250
Sc: 0.750 0.750 0.750
Nb: 0.000 0.000 0.000
Cu: 0.500 0.500 0.500

Computed properties:
- DFT formation energy: 0.16 eV/atom
- E_tot: -26.17 eV for the cell shown
- Space-group type: No. 225

=====

# 4
Below is a relaxed Sm2FeTc crystal, with properties calculated at the GGA-PBE level.

Cell: 10.064 10.064 10.064 Å, 18.82 18.82 18.82°
Atoms (fractional coordinates):
Sm: 0.094 0.094 0.094
Sm: 0.906 0.906 0.906
Fe: 0.000 0.000 0.000
Tc: 0.500 0.500 0.500

Computed properties:
- DFT formation energy: 0.76 eV/atom
- E_tot: -25.22 eV for the cell shown
- Space-group type: No. 166

=====

# 5
Below is a relaxed TaAgHg4 crystal, with properties calculated at the GGA-PBE level.

Cell: 5.721 5.721 5.721 Å, 60.00 60.00 60.00°
Atoms (fractional coordinates):
Ta: 0.000 0.000 0.000
Ag: 0.750 0.750 0.750
Hg: 0.375 0.375 0.375
Hg: 0.375 0.375 0.876
Hg: 0.375 0.876 0.375
Hg: 0.876 0.375 0.375

Computed properties:
- DFT formation energy: 0.81 eV/atom
- E_tot: -11.08 eV for the cell shown
- Space-group type: No. 216

=====

# 6
Below is a relaxed ScBeTl crystal, with properties calculated at the GGA-PBE level.

Cell: 6.085 4.344 8.469 Å, 90.00 90.00 90.00°
Atoms (fractional coordinates):
Sc: 0.167 0.250 0.076
Sc: 0.333 0.750 0.576
Sc: 0.667 0.250 0.424
Sc: 0.833 0.750 0.924
Be: 0.165 0.250 0.414
Be: 0.335 0.750 0.914
Be: 0.665 0.250 0.086
Be: 0.835 0.750 0.586
Tl: 0.018 0.250 0.711
Tl: 0.482 0.750 0.211
Tl: 0.518 0.250 0.789
Tl: 0.982 0.750 0.289

Computed properties:
- DFT formation energy: 0.10 eV/atom
- E_tot: -48.55 eV for the cell shown
- Space-group type: No. 62

=====

# 7
Below is a relaxed Tm2GeAu crystal, with properties calculated at the GGA-PBE level.

Cell: 4.256 5.749 5.749 Å, 40.76 90.00 90.00°
Atoms (fractional coordinates):
Tm: 0.000 0.000 0.000
Tm: 0.500 0.279 0.279
Ge: 0.000 0.726 0.726
Au: 0.500 0.553 0.553

Computed properties:
- DFT formation energy: -0.87 eV/atom
- E_tot: -20.31 eV for the cell shown
- Space-group type: No. 38

=====

# 8
Below is a relaxed Zn6Ni3Pt crystal, with properties calculated at the GGA-PBE level.

Cell: 4.894 4.894 7.305 Å, 112.76 112.76 61.25°
Atoms (fractional coordinates):
Zn: 0.071 0.578 0.196
Zn: 0.161 0.161 0.426
Zn: 0.422 0.929 0.804
Zn: 0.578 0.071 0.196
Zn: 0.839 0.839 0.574
Zn: 0.929 0.422 0.804
Ni: 0.422 0.422 0.796
Ni: 0.500 0.500 0.500
Ni: 0.578 0.578 0.204
Pt: 0.000 0.000 0.000

Computed properties:
- DFT formation energy: -0.13 eV/atom
- E_tot: -32.32 eV for the cell shown
- Space-group type: No. 12

=====

# 9
Below is a relaxed Nd3Zn4Ir4 crystal, with properties calculated at the GGA-PBE level.

Cell: 6.641 6.641 6.641 Å, 109.47 109.47 109.47°
Atoms (fractional coordinates):
Nd: 0.000 0.500 0.500
Nd: 0.500 0.000 0.500
Nd: 0.500 0.500 0.000
Zn: 0.000 0.000 0.242
Zn: 0.000 0.242 0.000
Zn: 0.242 0.000 0.000
Zn: 0.758 0.758 0.758
Ir: 0.000 0.000 0.604
Ir: 0.000 0.604 0.000
Ir: 0.396 0.396 0.396
Ir: 0.604 0.000 0.000

Computed properties:
- DFT formation energy: -0.28 eV/atom
- E_tot: -57.88 eV for the cell shown
- Space-group type: No. 217

=====

# 10
Below is a relaxed ScPaS4 crystal, with properties calculated at the GGA-PBE level.

Cell: 7.490 7.490 6.608 Å, 114.76 114.76 30.66°
Atoms (fractional coordinates):
Sc: 0.000 0.000 0.000
Pa: 0.500 0.500 0.500
S: 0.108 0.108 0.771
S: 0.396 0.396 0.738
S: 0.604 0.604 0.262
S: 0.892 0.892 0.229

Computed properties:
- E_tot: -42.42 eV for the cell shown
- Formation energy from raw total energies: -10.1 eV/f.u.
- Space-group type: No. 12

=====

# 11
Below is a relaxed Th2FeHg crystal, with properties calculated at the GGA-PBE level.

Cell: 6.213 3.944 8.880 Å, 90.00 109.71 90.00°
Atoms (fractional coordinates):
Th: 0.005 0.250 0.260
Th: 0.433 0.250 0.652
Th: 0.567 0.750 0.348
Th: 0.995 0.750 0.740
Fe: 0.162 0.750 0.467
Fe: 0.838 0.250 0.533
Hg: 0.323 0.250 0.028
Hg: 0.677 0.750 0.972

Computed properties:
- DFT formation energy: -0.20 eV/atom
- E_tot: -48.79 eV for the cell shown
- Space-group type: No. 11

=====

# 12
Below is a relaxed BaSbTe2Ru crystal, with properties calculated at the GGA-PBE level.

Cell: 5.619 5.619 4.971 Å, 90.00 90.00 90.00°
Atoms (fractional coordinates):
Ba: 0.000 0.000 0.000
Sb: 0.500 0.500 0.000
Te: 0.000 0.500 0.500
Te: 0.500 0.000 0.500
Ru: 0.500 0.500 0.500

Computed properties:
- E_tot: -23.41 eV for the cell shown
- Formation energy from raw total energies: -1.8 eV/f.u.
- Space-group type: No. 123